[1]
Density functional theory data (PBE-GGA) for a relaxed HfNiBi2 crystal.

```
HfNiBi2
1.0
1.0154 -1.0727 4.8649
4.2693 1.7343 2.1480
-0.2304 3.6676 3.5135
Bi Hf Ni
2 1 1
direct
0.5000 0.5000 0.5000 Bi
0.7500 0.7500 0.7500 Bi
0.2500 0.2500 0.2500 Hf
0.0000 0.0000 0.0000 Ni
```

Output
The value obtained for the total energy is -5.496 eV per atom. Its total magnetization is 0.00 μB per atom.

=====

[2]
Density functional theory data (PBE-GGA) for a relaxed Hf3Ni3Bi4 crystal.

```
Hf3Ni3Bi4
1.0
-3.1946 -4.6147 5.7967
0.6338 7.5942 2.6513
-4.7577 -0.1863 -6.5140
Bi Hf Ni
8 6 6
direct
0.3288 0.5000 0.0000 Bi
0.8288 0.5000 0.0000 Bi
0.1712 0.1712 0.1712 Bi
0.5000 0.0000 0.3288 Bi
0.0000 0.3288 0.5000 Bi
0.0000 0.8288 0.5000 Bi
0.6712 0.6712 0.6712 Bi
0.5000 0.0000 0.8288 Bi
0.7500 0.8750 0.1250 Hf
0.6250 0.3750 0.2500 Hf
0.2500 0.6250 0.3750 Hf
0.3750 0.2500 0.6250 Hf
0.8750 0.1250 0.7500 Hf
0.1250 0.7500 0.8750 Hf
0.8750 0.2500 0.1250 Ni
0.1250 0.8750 0.2500 Ni
0.6250 0.7500 0.3750 Ni
0.7500 0.3750 0.6250 Ni
0.3750 0.6250 0.7500 Ni
0.2500 0.1250 0.8750 Ni
```

Output
The value obtained for the total energy is -6.514 eV per atom. Its total magnetization is 0.00 μB per atom.